*one*
Tb8Pm2Y after structural relaxation, computed with GGA-PBE.

Cell and atoms, written as POSCAR:
```
Tb8Pm2Y
1.0
5.3325 0.0000 -1.6192
-1.0051 7.4426 -3.3100
-0.0706 -0.3728 9.3580
Tb Pm Y
8 2 1
Direct
0.3631 0.1570 0.7262 Tb
0.0000 0.7060 0.0000 Tb
0.0000 0.2940 0.0000 Tb
0.6369 0.4308 0.2737 Tb
0.8404 0.8404 0.6808 Tb
0.6369 0.8430 0.2738 Tb
0.3631 0.5692 0.7263 Tb
0.1596 0.1596 0.3192 Tb
0.7980 0.2980 0.5960 Pm
0.2020 0.7020 0.4040 Pm
0.5000 0.0000 0.0000 Y
```

*two*
Tb8Pm2Y after structural relaxation, computed with GGA-PBE.

Cell and atoms, written as POSCAR:
```
Tb8Pm2Y
1.0
-0.3123 1.7424 -5.6564
6.4945 -1.5619 -6.1507
-0.3179 -7.8299 -5.0498
Pm Tb Y
2 8 1
Direct
0.0000 0.3080 0.3840 Pm
0.0000 0.6920 0.6160 Pm
0.1799 0.6673 0.2343 Tb
0.7053 0.5704 0.0000 Tb
0.5000 0.7936 0.4128 Tb
0.5000 0.2064 0.5872 Tb
0.8201 0.3327 0.7657 Tb
0.8201 0.0984 0.2343 Tb
0.1799 0.9016 0.7657 Tb
0.2947 0.4296 0.0000 Tb
0.5000 0.0000 0.0000 Y
```

Pick the most stable structure from those above. Pick: *one*